No. 1
First-principles (PBE) data for a relaxed Ac4TlIrBr2 crystal, as listed in Alexandria via LeMat-Bulk.

Cell and atoms, written as POSCAR:
```
Ac4TlIrBr2
1.0
4.445 0.000 0.000
0.000 8.290 0.096
0.000 -2.951 8.070
Ac Br Ir Tl
4 2 1 1
direct
0.500 0.286 0.209
0.000 0.277 0.799
0.000 0.723 0.201
0.500 0.714 0.791
0.500 0.000 0.500
0.000 0.500 0.500
0.500 0.500 0.000
0.000 0.000 0.000
```

Summary:
**M_tot**: 0.0 Bohr magnetons per cell
**Formation energy from raw total energies**: -0.953 eV per atom
**Density of states at the Fermi level**: 0.696 states/eV/atom

***

No. 2
First-principles (PBE) data for a relaxed Sr3Hg crystal, as listed in Alexandria via LeMat-Bulk.

Cell and atoms, written as POSCAR:
```
Sr3Hg
1.0
-6.642 -1.888 0.854
1.814 -6.684 -0.665
1.001 -0.412 6.873
Sr Hg
6 2
direct
0.750 0.500 0.000
0.250 0.500 0.000
0.000 0.250 0.500
0.500 0.000 0.250
0.000 0.750 0.500
0.500 0.000 0.750
0.500 0.500 0.500
0.000 0.000 0.000
```

Summary:
**M_tot**: 1.1 Bohr magnetons per cell
**Relative energy among the computed polymorphs**: 232 meV/atom
**Density of states at the Fermi level**: 1.609 states/eV/atom

***

No. 3
First-principles (PBE) data for a relaxed Ga3Co2Ir crystal, as listed in Alexandria via LeMat-Bulk.

Cell and atoms, written as POSCAR:
```
Ga3Co2Ir
1.0
-0.331 2.924 0.349
-2.924 -0.284 -0.391
-1.038 -1.144 8.595
Co Ga Ir
2 3 1
direct
0.500 0.500 0.160
0.500 0.500 0.840
0.000 0.000 0.000
0.000 0.000 0.683
0.000 0.000 0.317
0.500 0.500 0.500
```

Summary:
**M_tot**: 0.6 Bohr magnetons per cell
**Final energy**: -5.67 eV per atom
**Density of states at the Fermi level**: 0.421 states/eV/atom

***

No. 4
First-principles (PBE) data for a relaxed SrAs2Pt crystal, as listed in Alexandria via LeMat-Bulk.

Cell and atoms, written as POSCAR:
```
SrAs2Pt
1.0
4.973 0.000 0.000
2.486 4.307 0.000
2.486 1.436 4.060
As Pt Sr
2 1 1
direct
0.000 0.000 0.000
0.250 0.250 0.250
0.500 0.500 0.500
0.750 0.750 0.750
```

Summary:
**M_tot**: 0.0 Bohr magnetons per cell
**Final energy**: -4.42 eV per atom
**Density of states at the Fermi level**: 0.357 states/eV/atom

***

No. 5
First-principles (PBE) data for a relaxed Ti4InS8 crystal, as listed in Alexandria via LeMat-Bulk.

Cell and atoms, written as POSCAR:
```
Ti4InS8
1.0
-0.410 7.206 0.018
-5.280 3.324 -3.629
-5.321 3.303 3.588
Ti In S
4 1 8
direct
0.361 0.917 0.361
0.361 0.361 0.361
0.917 0.361 0.361
0.361 0.361 0.917
0.750 0.750 0.750
0.168 0.611 0.611
0.127 0.127 0.618
0.611 0.611 0.611
0.127 0.618 0.127
0.611 0.611 0.168
0.127 0.127 0.127
0.618 0.127 0.127
0.611 0.168 0.611
```

Summary:
**M_tot**: 2.5 Bohr magnetons per cell
**Relative energy among the computed polymorphs**: 24 meV/atom
**Formation energy from raw total energies**: -1.209 eV per atom
**Density of states at the Fermi level**: 0.488 states/eV/atom

***

No. 6
First-principles (PBE) data for a relaxed Sc2NbH crystal, as listed in Alexandria via LeMat-Bulk.

Cell and atoms, written as POSCAR:
```
Sc2NbH
1.0
-3.956 -2.395 -0.788
-4.033 2.295 -0.693
-1.966 0.054 -4.259
Sc H Nb
2 1 1
direct
0.750 0.750 0.750
0.250 0.250 0.250
0.000 0.000 0.000
0.500 0.500 0.500
```

Summary:
**M_tot**: 1.3 Bohr magnetons per cell
**Relative energy among the computed polymorphs**: 646 meV/atom
**Density of states at the Fermi level**: 1.637 states/eV/atom

***

No. 7
First-principles (PBE) data for a relaxed Ni2As2Au crystal, as listed in Alexandria via LeMat-Bulk.

Cell and atoms, written as POSCAR:
```
Ni2As2Au
1.0
6.965 0.000 0.000
0.000 6.965 0.000
0.000 0.000 3.090
Ni As Au
4 4 2
direct
0.867 0.633 0.000
0.133 0.367 0.000
0.367 0.867 0.000
0.633 0.133 0.000
0.841 0.341 0.500
0.159 0.659 0.500
0.341 0.159 0.500
0.659 0.841 0.500
0.000 0.000 0.000
0.500 0.500 0.000
```

Summary:
**M_tot**: 0.0 Bohr magnetons per cell
**Relative energy among the computed polymorphs**: 0 meV/atom
**Density of states at the Fermi level**: 0.388 states/eV/atom

***

No. 8
First-principles (PBE) data for a relaxed YMo2P crystal, as listed in Alexandria via LeMat-Bulk.

Cell and atoms, written as POSCAR:
```
YMo2P
1.0
0.495 -3.891 3.437
1.455 1.783 4.680
-3.812 0.474 -3.528
Mo Y P
2 1 1
direct
0.022 0.022 0.000
0.255 0.755 0.500
0.747 0.247 0.500
0.477 0.477 0.000
```

Summary:
**M_tot**: 0.0 Bohr magnetons per cell
**Final energy**: -8.30 eV per atom
**Density of states at the Fermi level**: 0.676 states/eV/atom

***

Question: Number 4 is which compound?
Answer: SrAs2Pt